## Ta2ZnIr (GGA-PBE)

Data for an optimized crystal structure of Ta2ZnIr.

a = 5.4795 Å, b = 5.4795 Å, c = 5.4795 Å
α = 148.61°, β = 129.19°, γ = 60.95°
Element x y z (fractional)
Ir: 0.2503 0.7503 0.5000
Ta: 0.0104 0.0104 0.0000
Ta: 0.7542 0.2542 0.5000
Zn: 0.4851 0.4851 0.0000

Values from the calculation:
Fermi-level density of states   2.6 states/eV per cell
Energy of formation from the pure elements   -0.18 eV/atom
Calculated total energy   -8.64 eV per atom